Record 1
The following is a PBE calculation of crystalline LaDyNi2 at its relaxed geometry, from Alexandria.

The space group is Amm2 (No. 38) and the conventional cell measures 4.356, 3.779 and 10.387 Å, with angles of 90.00, 90.00 and 90.00 degrees. The inequivalent atoms are La at (0.000, 0.000, 0.000), Dy at (0.500, 0.000, 0.274), Ni at (0.000, 0.000, 0.716) and Ni at (0.500, 0.000, 0.568).

Its crystal system is orthorhombic. For the electronic total energy, the calculation gives -45.2 eV/cell. The calculation puts the polymorph energy (0 for the lowest one) at 0.0 kJ/mol of atoms. The calculation puts the formation energy at -0.38 eV/atom. Its total magnetization is 0.00 μB per formula unit. For the density of states at the Fermi level, the calculation gives 5.1 states/eV per cell.

=====

Record 2
The following is a PBE calculation of crystalline LaDyNi17 at its relaxed geometry, from Alexandria.

The space group is R3m (No. 160, hexagonal axes) and the conventional cell measures 8.3417, 8.3417 and 12.1206 Å, with angles of 90.00, 90.00 and 120.00 degrees. The inequivalent atoms are La at (0.0000, 0.0000, 0.0000), Dy at (0.0000, 0.0000, 0.6801), Ni at (0.0000, 0.0000, 0.2445), Ni at (0.0000, 0.0000, 0.4418), Ni at (0.0012, 0.2913, 0.3422), Ni at (0.0037, 0.5019, 0.1868), Ni at (0.1670, 0.3340, 0.8292) and Ni at (0.1674, 0.3348, 0.1761).

Its crystal system is trigonal. For the electronic total energy, the calculation gives -333.5 eV/cell. The calculation puts the formation energy at -0.18 eV/atom. Its total magnetization is 7.15 μB per formula unit. For the density of states at the Fermi level, the calculation gives 79.4 states/eV per cell.